The following is a DFT calculation (PBE with a Hubbard U) of a relaxed structure of WSe2F2.

- final energy (eV/atom) = -3.9446
- spin magnetization (Bohr magnetons per cell) = 8.0

abc: 6.747 6.747 4.096
angles: 90.00 90.00 90.00
Space group P4/mbm (No. 127)
Unique sites:
W 0.000 0.000 0.000
Se 0.117 0.383 0.000
F 0.238 0.738 0.500